Entry 1:
BI4 after structural relaxation, computed with PBE.

Values from the calculation:
The formation energy (no corrections) is 0.096 eV per atom. As for the energy above the most stable polymorph in this dataset: 0 meV per atom. Its crystal system is tetragonal.

Cell: 6.927 6.927 9.090 Å, 90.00 90.00 90.00°
Space group I-42m (No. 121)
Unique sites:
B 0.000 0.000 0.000 [2 per cell]
I 0.189 0.189 0.861 [8 per cell]

=====

Entry 2:
HWI after structural relaxation, computed with PBE.

Values from the calculation:
Its crystal system is orthorhombic.

Cell: 5.566 9.510 4.648 Å, 90.00 90.00 90.00°
Space group Pca2_1 (No. 29)
Unique sites:
H 0.070 0.114 0.000 [4 per cell]
W 0.094 0.048 0.397 [4 per cell]
I 0.004 0.682 0.940 [4 per cell]

=====

Entry 3:
RbHgBr2F after structural relaxation, computed with PBE.

Values from the calculation:
The formation energy (no corrections) is -1.334 eV per atom. As for the energy above the most stable polymorph in this dataset: 0 meV per atom. Its crystal system is monoclinic.

Cell: 7.560 4.537 9.716 Å, 90.00 106.41 90.00°
Space group P2_1/m (No. 11)
Unique sites:
Rb 0.145 0.250 0.309 [2 per cell]
Hg 0.361 0.250 0.803 [2 per cell]
Br 0.300 0.750 0.055 [2 per cell]
Br 0.345 0.750 0.614 [2 per cell]
F 0.065 0.250 0.752 [2 per cell]

=====

Entry 4:
NaPm3Rh after structural relaxation, computed with PBE.

Values from the calculation:
Its crystal system is cubic. The value obtained for the formation energy is -159 meV per atom.

Cell: 5.588 5.588 5.588 Å, 90.00 90.00 90.00°
Space group Pm-3m (No. 221)
Unique sites:
Na 0.000 0.000 0.000 [1 per cell]
Pm 0.000 0.500 0.500 [3 per cell]
Rh 0.500 0.500 0.500 [1 per cell]

=====

Computed DFT total energy (eV per cell) in order:
-24.793 -68.349 -26.317 -23.716